[1]
CdGeTeO | GGA-PBE | relaxed

Lattice parameters (Å, degrees): 3.661 3.661 11.580 90.00 90.00 90.00
Atoms (fractional coordinates):
Cd (0.250, 0.250, 0.107)
Cd (0.750, 0.750, 0.893)
Ge (0.250, 0.750, 0.500)
Ge (0.750, 0.250, 0.500)
Te (0.250, 0.250, 0.718)
Te (0.750, 0.750, 0.282)
O (0.250, 0.250, 0.913)
O (0.750, 0.750, 0.087)

## Properties
As for the space-group type: P4/nmm. The offset from the most stable computed form comes out at 493 meV/atom.


[2]
NaScPtS3 | GGA-PBE | relaxed

Lattice parameters (Å, degrees): 7.111 7.111 9.690 90.00 90.00 149.89
Atoms (fractional coordinates):
Na (0.232, 0.768, 0.750)
Na (0.768, 0.232, 0.250)
Sc (0.000, 0.000, 0.000)
Sc (0.000, 0.000, 0.500)
Pt (0.489, 0.511, 0.250)
Pt (0.511, 0.489, 0.750)
S (0.096, 0.904, 0.250)
S (0.374, 0.626, 0.067)
S (0.374, 0.626, 0.433)
S (0.626, 0.374, 0.567)
S (0.626, 0.374, 0.933)
S (0.904, 0.096, 0.750)

## Properties
As for the space-group type: Cmcm. As for the total energy: -5.389 eV per atom.